(1)
Compound: Sb2TeRhSe
Source: the Alexandria database
Functional: SCAN
Structure: PBEsol geometry

Unit cell a=5.012 b=5.012 c=5.233 alpha=90.00 beta=90.00 gamma=90.00
Element x y z (fractional)
Sb 0.000 0.500 0.000
Sb 0.500 0.000 0.000
Te 0.000 0.000 0.500
Rh 0.000 0.000 0.000
Se 0.500 0.500 0.500

Computed properties:
E_form (uncorrected) ... 0.362 eV/atom
Energy ... -163.8 eV/cell
Magnetic moment ... 0.00 μB/f.u.



(2)
Compound: Al3SBr
Source: the Alexandria database
Functional: SCAN
Structure: PBEsol geometry

Unit cell a=5.282 b=5.282 c=5.282 alpha=90.00 beta=90.00 gamma=90.00
Element x y z (fractional)
S 0.500 0.500 0.500
Al 0.000 0.500 0.000
Al 0.000 0.000 0.500
Al 0.500 0.000 0.000
Br 0.000 0.000 0.000

Computed properties:
E_form (uncorrected) ... 1.036 eV/atom
Energy ... -47.2 eV/cell
Magnetic moment ... 0.00 μB/f.u.



(3)
Compound: Ba2TlCo
Source: the Alexandria database
Functional: SCAN
Structure: PBEsol geometry

Unit cell a=3.821 b=3.821 c=8.424 alpha=90.00 beta=90.00 gamma=90.00
Element x y z (fractional)
Tl 0.500 0.500 0.500
Co 0.500 0.500 0.000
Ba 0.000 0.000 0.786
Ba 0.000 0.000 0.214

Computed properties:
Energy ... -168.5 eV/cell
Magnetic moment ... 1.36 μB/f.u.
Energy of formation from the pure elements ... 0.057 eV per atom



(4)
Compound: MnWBr2
Source: the Alexandria database
Functional: SCAN
Structure: PBEsol geometry

Unit cell a=3.193 b=4.564 c=4.564 alpha=89.91 beta=90.00 gamma=90.00
Element x y z (fractional)
Br 0.000 0.500 0.000
Br 0.000 0.000 0.500
Mn 0.500 0.000 0.000
W 0.500 0.500 0.500

Computed properties:
E_form (uncorrected) ... 1.038 eV/atom
Energy ... -122.7 eV/cell
Energy above the lowest structure with this stoichiometry ... 350.8 kJ/mol of formula units
Magnetic moment ... 2.97 μB/f.u.



(5)
Compound: MgWCl2
Source: the Alexandria database
Functional: SCAN
Structure: PBEsol geometry

Unit cell a=3.065 b=3.065 c=9.855 alpha=81.05 beta=81.05 gamma=60.00
Element x y z (fractional)
Cl 0.273 0.273 0.180
Cl 0.727 0.727 0.820
Mg 0.500 0.500 0.500
W 0.000 0.000 0.000

Computed properties:
E_form (uncorrected) ... 0.030 eV/atom
Energy ... -90.5 eV/cell
Energy above the lowest structure with this stoichiometry ... 35.8 kJ/mol of formula units
Magnetic moment ... 0.00 μB/f.u.



(6)
Compound: BaLa2Ag
Source: the Alexandria database
Functional: SCAN
Structure: PBEsol geometry

Unit cell a=3.850 b=3.850 c=11.284 alpha=80.18 beta=80.18 gamma=60.00
Element x y z (fractional)
Ba 0.000 0.000 0.000
Ag 0.500 0.500 0.500
La 0.232 0.232 0.303
La 0.768 0.768 0.697

Computed properties:
Energy ... -156.8 eV/cell
Energy above the lowest structure with this stoichiometry ... 64.6 kJ/mol of formula units
Magnetic moment ... 0.00 μB/f.u.
Energy of formation from the pure elements ... 0.084 eV per atom